Entry one
{"formula": "PdAuI2O", "functional": "PBE-GGA", "state": "optimized geometry", "crystal_system": "tetragonal", "dos_at_fermi_per_ev_cell": 6.33, "m_tot_mub_per_cell": 0.0, "lattice": [[5.6472, 0.0000, 0.0000], [0.0000, 5.6472, 0.0000], [0.0000, 0.0000, 3.8314]], "species": ["Pd", "Au", "I", "I", "O"], "fractional_positions": [[0.0000, 0.0000, 0.0000], [0.5000, 0.5000, 0.5000], [0.0000, 0.5000, 0.0000], [0.5000, 0.0000, 0.0000], [0.0000, 0.0000, 0.5000]]}

=====

Entry two
{"formula": "PdAuI2O", "functional": "PBE-GGA", "state": "optimized geometry", "crystal_system": "tetragonal", "dos_at_fermi_per_ev_cell": 8.54, "m_tot_mub_per_cell": 0.7, "lattice": [[5.7058, 0.0000, 0.0000], [0.0000, 5.7058, 0.0000], [0.0000, 0.0000, 3.9234]], "species": ["Pd", "Au", "I", "I", "O"], "fractional_positions": [[0.0000, 0.0000, 0.0000], [0.5000, 0.5000, 0.5000], [0.0000, 0.5000, 0.5000], [0.5000, 0.0000, 0.5000], [0.5000, 0.5000, 0.0000]]}

=====

What are the relative energies? In meV/atom: entry one 0; entry two 250.

=====

Entry one
{"formula": "RhAuIO2", "functional": "PBE-GGA", "state": "optimized geometry", "crystal_system": "tetragonal", "dos_at_fermi_per_ev_cell": 3.72, "m_tot_mub_per_cell": 0.7, "lattice": [[3.8409, 0.0000, 0.0000], [0.0000, 3.8409, 0.0000], [0.0000, 0.0000, 8.0310]], "species": ["Rh", "Au", "I", "O", "O"], "fractional_positions": [[0.0000, 0.0000, 0.0000], [0.5000, 0.5000, 0.5000], [0.0000, 0.0000, 0.5000], [0.0000, 0.5000, 0.0000], [0.5000, 0.0000, 0.0000]]}

=====

Entry two
{"formula": "RhAuIO2", "functional": "PBE-GGA", "state": "optimized geometry", "crystal_system": "tetragonal", "dos_at_fermi_per_ev_cell": 6.85, "m_tot_mub_per_cell": 2.2, "lattice": [[3.8874, 0.0000, 0.0000], [0.0000, 3.8874, 0.0000], [0.0000, 0.0000, 7.7575]], "species": ["Rh", "Au", "I", "O", "O"], "fractional_positions": [[0.0000, 0.0000, 0.0000], [0.5000, 0.5000, 0.5000], [0.5000, 0.5000, 0.0000], [0.0000, 0.5000, 0.5000], [0.5000, 0.0000, 0.5000]]}

=====

What are the relative energies? In meV/atom: entry one 0; entry two 687.